[1]
VASP calculation (PBE-GGA) on an optimized crystal structure of LaSbBr2.

```
LaSbBr2
1.0
3.5534 0.0000 0.0000
0.0000 3.5534 0.0000
0.0000 0.0000 11.1054
La Sb Br
1 1 2
Cartesian
0.0000 0.0000 0.0000 La
0.0000 0.0000 5.5527 Sb
1.7767 1.7767 1.8002 Br
1.7767 1.7767 9.3052 Br
```

Calculated values
* distance to the lowest polymorph of the same formula: 203 meV per atom
* energy relative to the elements, uncorrected: -0.9812 eV/atom

---

[2]
VASP calculation (PBE-GGA) on an optimized crystal structure of PaBe17Fe.

```
PaBe17Fe
1.0
3.7796 2.1822 3.6516
-3.7796 2.1822 3.6516
0.0000 -4.3643 3.6516
Pa Be Fe
1 17 1
Cartesian
0.0000 0.0000 0.0000 Pa
0.0000 -2.1537 1.8341 Be
-1.8652 1.0768 1.8341 Be
-1.9312 -1.1150 5.3924 Be
0.0000 -2.0719 5.2077 Be
-1.7943 1.0359 5.2077 Be
-1.0507 -1.9315 7.1837 Be
-2.1981 0.0558 7.1837 Be
1.8651 1.0768 1.8341 Be
0.0000 0.0000 6.0747 Be
1.0507 -1.9315 7.1837 Be
-1.1474 1.8757 7.1837 Be
1.9312 -1.1150 5.3924 Be
0.0000 2.2300 5.3924 Be
0.0000 0.0000 8.2158 Be
1.7943 1.0359 5.2078 Be
2.1981 0.0558 7.1837 Be
1.1474 1.8757 7.1837 Be
0.0000 0.0000 3.6480 Fe
```

Calculated values
* calculated total energy: -0.1565 Ha/atom

---

[3]
VASP calculation (PBE-GGA) on an optimized crystal structure of La2NdBi2.

```
La2NdBi2
1.0
-4.5609 6.2069 3.2880
4.5609 -6.2069 3.2880
4.5609 6.2069 -3.2880
La Nd Bi
4 2 4
Cartesian
1.2960 1.8365 0.0000 La
5.8569 4.3704 0.0000 La
-1.2960 1.8365 3.2880 La
3.2649 4.3704 3.2880 La
4.5609 0.0000 1.6440 Nd
0.0000 6.2069 1.6440 Nd
7.1225 1.3849 0.0000 Bi
2.5616 4.8220 0.0000 Bi
1.9993 1.3849 3.2880 Bi
-2.5616 4.8220 3.2880 Bi
```

Calculated values
* calculated total energy: -0.1909 Ha/atom

---

[4]
VASP calculation (PBE-GGA) on an optimized crystal structure of HfSc2Ge2.

```
HfSc2Ge2
1.0
7.1931 0.0000 0.0000
0.0000 7.1931 0.0000
0.0000 0.0000 3.8206
Hf Sc Ge
2 4 4
Cartesian
0.0000 0.0000 0.0000 Hf
3.5966 3.5966 0.0000 Hf
1.2144 2.3821 1.9103 Sc
2.3821 5.9787 1.9103 Sc
4.8110 1.2144 1.9103 Sc
5.9787 4.8110 1.9103 Sc
0.9703 4.5669 0.0000 Ge
2.6262 0.9703 0.0000 Ge
4.5669 6.2228 0.0000 Ge
6.2228 2.6262 0.0000 Ge
```

Calculated values
* calculated total energy: -0.2603 Ha/atom

---

[5]
VASP calculation (PBE-GGA) on an optimized crystal structure of TiIrRh3.

```
TiIrRh3
1.0
4.6881 0.0000 0.0000
0.0000 4.6881 0.0000
0.0000 0.0000 4.6881
Ti Ir Rh
1 1 3
Cartesian
0.0000 0.0000 0.0000 Ti
2.3441 2.3441 2.3441 Ir
0.0000 2.3441 2.3441 Rh
2.3441 0.0000 2.3441 Rh
2.3441 2.3441 0.0000 Rh
```

Calculated values
* distance to the lowest polymorph of the same formula: 1674 meV per atom

---

[6]
VASP calculation (PBE-GGA) on an optimized crystal structure of BaWSe2.

```
BaWSe2
1.0
7.4896 0.0000 0.0000
0.0000 7.4896 0.0000
0.0000 0.0000 7.4896
Ba W Se
4 4 8
Cartesian
0.0000 0.0000 0.0000 Ba
0.0000 3.7448 3.7448 Ba
3.7448 0.0000 3.7448 Ba
3.7448 3.7448 0.0000 Ba
1.8724 1.8724 1.8724 W
1.8724 5.6172 5.6172 W
5.6172 1.8724 5.6172 W
5.6172 5.6172 1.8724 W
0.0000 0.0000 3.7448 Se
0.0000 3.7448 0.0000 Se
1.8724 1.8724 5.6172 Se
1.8724 5.6172 1.8724 Se
3.7448 0.0000 0.0000 Se
3.7448 3.7448 3.7448 Se
5.6172 1.8724 1.8724 Se
5.6172 5.6172 5.6172 Se
```

Calculated values
* distance to the lowest polymorph of the same formula: 1301 meV per atom
* energy relative to the elements, uncorrected: 0.7916 eV/atom

---

[7]
VASP calculation (PBE-GGA) on an optimized crystal structure of Zr3BiH.

```
Zr3BiH
1.0
-2.6021 2.6021 10.6703
2.6021 -2.6021 10.6703
2.6021 2.6021 -10.6703
Zr Bi H
6 2 2
Cartesian
0.0000 0.0000 4.0661 Zr
2.6021 1.2857 2.6617 Zr
1.2857 2.6021 -2.6617 Zr
1.3164 0.0000 8.0086 Zr
0.0000 0.0000 17.2745 Zr
0.0000 1.3164 13.3320 Zr
2.6021 0.0000 5.3352 Bi
0.0000 0.0000 10.6703 Bi
0.0000 2.6021 3.2520 H
0.0000 2.6021 7.4183 H
```

Calculated values
* distance to the lowest polymorph of the same formula: 1148 meV per atom

---

[8]
VASP calculation (PBE-GGA) on an optimized crystal structure of Th6Bi2Mo.

```
Th6Bi2Mo
1.0
8.8173 0.0000 0.0000
-4.4087 7.6360 0.0000
0.0000 0.0000 4.0580
Th Bi Mo
6 2 1
Cartesian
-1.0647 1.8441 0.0000 Th
-2.6300 4.5554 2.0290 Th
2.1293 0.0000 0.0000 Th
1.7786 3.0807 2.0290 Th
5.2601 0.0000 2.0290 Th
3.3440 5.7920 0.0000 Th
0.0000 5.0907 0.0000 Bi
4.4087 2.5453 0.0000 Bi
0.0000 0.0000 2.0290 Mo
```

Calculated values
* calculated total energy: -0.2677 Ha/atom

---

The calculation returns the following density values, one per record and in order: 5.0, 4.0, 7.5, 6.9, 8.8, 7.6, 5.6, 11.6 g/cm³.
The calculation returns the following calculated volume values, one per record and in order: 35.06, 9.51, 37.23, 19.77, 20.61, 26.26, 28.90, 30.36 Å³ per atom.